First-principles (PBE+U) data for Li4V3Fe3Te2O16 after structural relaxation, as listed in Alexandria via LeMat-Bulk.

Cell lengths 5.9641, 6.0439, 10.1823 Å; angles 90.47, 90.02, 118.88 degrees
With the nearest neighbours (Å) after each atom.
Positions (direct):
Li: 0.0000 0.0000 0.0000  4 O 1.88-2.04
Li: 0.0239 0.0041 0.5075  4 O 1.86-2.00
Li: 0.3440 0.6817 0.5872  4 O 2.00-2.06
Li: 0.6946 0.3401 0.0922  4 O 2.03-2.14
V: 0.1977 0.8422 0.2793  6 O 1.89-2.07
V: 0.6844 0.8260 0.2742  3 O 1.80-2.00
V: 0.8149 0.6556 0.7674  2 O 1.78-1.97
Fe: 0.1898 0.3487 0.2830  6 O 2.02-2.12
Fe: 0.3484 0.1668 0.7811  5 O 2.01-2.22
Fe: 0.8460 0.1804 0.7766  6 O 2.00-2.13
Te: 0.3281 0.6642 0.9893  3 O 1.95-2.14
Te: 0.6810 0.3174 0.5025  3 O 1.97-2.09
O: 0.0071 0.9946 0.6899  1 Li 1.86, 1 V 1.97, 2 Fe 2.00-2.01
O: 0.0227 0.0167 0.1844  1 Li 1.88, 2 V 2.00-2.05, 1 Fe 2.02
O: 0.0559 0.5309 0.1663  1 V 2.00, 1 Li 2.03, 1 Fe 2.03
O: 0.1501 0.8172 0.8985  1 Te 1.95, 1 Li 2.01
O: 0.1590 0.3303 0.9037  1 Te 1.96, 1 Li 2.01, 1 Fe 2.08
O: 0.3370 0.1608 0.3976  1 Li 1.99, 1 V 2.07, 1 Te 2.09, 1 Fe 2.10
O: 0.3606 0.6812 0.3852  2 V 2.00-2.04, 1 Fe 2.04, 1 Li 2.06
O: 0.5044 0.9877 0.1783  2 V 1.91-2.02, 1 Li 2.07
O: 0.5360 0.5369 0.1806  1 V 1.80
O: 0.5420 0.5210 0.6613  1 V 1.78
O: 0.5450 0.0473 0.6348  1 Te 1.97, 1 Li 2.00, 1 Fe 2.13
O: 0.6804 0.8446 0.8833  1 Li 2.04, 1 V 2.05, 1 Fe 2.09, 1 Te 2.14
O: 0.6868 0.3491 0.8818  2 Fe 2.00-2.04, 1 V 2.01, 1 Li 2.14
O: 0.8553 0.1562 0.3982  1 Li 2.00, 1 Te 2.03, 1 Fe 2.12, 1 V 2.15
O: 0.8991 0.7266 0.3817  2 V 1.89-1.99, 1 Li 1.94
O: 0.9833 0.4941 0.6611  1 V 2.02, 1 Li 2.03, 1 Fe 2.05

Computed properties:
Total magnetic moment ... 15.1 μB/cell
Final energy ... -6.4232 eV per atom
Space group ... No. 1